# NaBiPb2, optimized geometry, DFT GGA-PBE
data_NaBiPb2
_space_group_name_H-M_alt 'I -4 2 d'
_space_group_IT_number 122
_space_group_name_Hall 'I -4 2bw'
_cell_length_a 9.0810
_cell_length_b 9.0810
_cell_length_c 6.5693
_cell_angle_alpha 90.00
_cell_angle_beta 90.00
_cell_angle_gamma 90.00
loop_
_atom_site_label
_atom_site_type_symbol
_atom_site_fract_x
_atom_site_fract_y
_atom_site_fract_z
_atom_site_occupancy
Na1 Na 0.0000 0.0000 0.0000 1
Bi1 Bi 0.0000 0.0000 0.5000 1
Pb1 Pb 0.2251 0.2500 0.6250 1
# formation energy from the elements	-0.0412	eV per atom
# total magnetization	0.00	μB per formula unit

# NaBi4Pb2, optimized geometry, DFT GGA-PBE
data_NaBi4Pb2
_space_group_name_H-M_alt 'P b a m'
_space_group_IT_number 55
_cell_length_a 8.4169
_cell_length_b 13.4788
_cell_length_c 4.2804
_cell_angle_alpha 90.00
_cell_angle_beta 90.00
_cell_angle_gamma 90.00
loop_
_space_group_symop_operation_xyz
'x,y,z'
'-x,-y,-z'
'-x,-y,z'
'x,y,-z'
'x+1/2,-y+1/2,-z'
'-x+1/2,y+1/2,z'
'-x+1/2,y+1/2,-z'
'x+1/2,-y+1/2,z'
loop_
_atom_site_label
_atom_site_type_symbol
_atom_site_fract_x
_atom_site_fract_y
_atom_site_fract_z
_atom_site_occupancy
Na1 Na 0.0000 0.0000 0.0000 1
Bi1 Bi 0.0507 0.2455 0.0000 1
Bi2 Bi 0.2310 0.8622 0.5000 1
Pb1 Pb 0.1664 0.6206 0.5000 1
# formation energy from the elements	0.0104	eV per atom
# total magnetization	0.00	μB per formula unit

# Na3BiPb, optimized geometry, DFT GGA-PBE
data_Na3BiPb
_space_group_name_H-M_alt 'P -1'
_space_group_IT_number 2
_cell_length_a 5.9052
_cell_length_b 6.5767
_cell_length_c 8.4523
_cell_angle_alpha 74.97
_cell_angle_beta 70.06
_cell_angle_gamma 88.47
loop_
_space_group_symop_operation_xyz
'x,y,z'
'-x,-y,-z'
loop_
_atom_site_label
_atom_site_type_symbol
_atom_site_fract_x
_atom_site_fract_y
_atom_site_fract_z
_atom_site_occupancy
Na1 Na 0.0241 0.4274 0.2934 1
Na2 Na 0.2228 0.8658 0.9074 1
Na3 Na 0.3856 0.2441 0.5078 1
Bi1 Bi 0.2144 0.9095 0.2961 1
Pb1 Pb 0.3758 0.3642 0.9079 1
# formation energy from the elements	-0.2250	eV per atom
# total magnetization	0.00	μB per formula unit

# NaBi5Pb5, optimized geometry, DFT GGA-PBE
data_NaBi5Pb5
_space_group_name_H-M_alt 'C 1 2/m 1'
_space_group_IT_number 12
_cell_length_a 12.6218
_cell_length_b 5.9297
_cell_length_c 10.1066
_cell_angle_alpha 90.00
_cell_angle_beta 94.24
_cell_angle_gamma 90.00
loop_
_space_group_symop_operation_xyz
'x,y,z'
'-x,-y,-z'
'-x,y,-z'
'x,-y,z'
'x+1/2,y+1/2,z'
'-x+1/2,-y+1/2,-z'
'-x+1/2,y+1/2,-z'
'x+1/2,-y+1/2,z'
loop_
_atom_site_label
_atom_site_type_symbol
_atom_site_fract_x
_atom_site_fract_y
_atom_site_fract_z
_atom_site_occupancy
Na1 Na 0.0000 0.0000 0.0000 1
Bi1 Bi 0.0000 0.5000 0.0000 1
Bi2 Bi 0.1952 0.0000 0.7364 1
Bi3 Bi 0.2482 0.0000 0.3920 1
Pb1 Pb 0.0000 0.0000 0.5000 1
Pb2 Pb 0.0570 0.5000 0.3312 1
Pb3 Pb 0.2375 0.5000 0.9321 1
# formation energy from the elements	0.0675	eV per atom
# total magnetization	0.00	μB per formula unit

# Na4BiPb4, optimized geometry, DFT GGA-PBE
data_Na4BiPb4
_space_group_name_H-M_alt 'I 4/m m m'
_space_group_IT_number 139
_space_group_name_Hall '-I 4 2'
_cell_length_a 10.4877
_cell_length_b 10.4877
_cell_length_c 4.8767
_cell_angle_alpha 90.00
_cell_angle_beta 90.00
_cell_angle_gamma 90.00
loop_
_atom_site_label
_atom_site_type_symbol
_atom_site_fract_x
_atom_site_fract_y
_atom_site_fract_z
_atom_site_occupancy
Na1 Na 0.1624 0.1624 0.0000 1
Bi1 Bi 0.0000 0.0000 0.5000 1
Pb1 Pb 0.0000 0.3366 0.5000 1
# formation energy from the elements	-0.1874	eV per atom
# total magnetization	0.00	μB per formula unit

# Na3Bi4Pb4, optimized geometry, DFT GGA-PBE
data_Na3Bi4Pb4
_space_group_name_H-M_alt 'C 1 2/m 1'
_space_group_IT_number 12
_cell_length_a 20.4982
_cell_length_b 9.8010
_cell_length_c 3.5523
_cell_angle_alpha 90.00
_cell_angle_beta 99.86
_cell_angle_gamma 90.00
loop_
_space_group_symop_operation_xyz
'x,y,z'
'-x,-y,-z'
'-x,y,-z'
'x,-y,z'
'x+1/2,y+1/2,z'
'-x+1/2,-y+1/2,-z'
'-x+1/2,y+1/2,-z'
'x+1/2,-y+1/2,z'
loop_
_atom_site_label
_atom_site_type_symbol
_atom_site_fract_x
_atom_site_fract_y
_atom_site_fract_z
_atom_site_occupancy
Na1 Na 0.0000 0.0000 0.0000 1
Na2 Na 0.0879 0.5000 0.0884 1
Bi1 Bi 0.0000 0.2731 0.5000 1
Bi2 Bi 0.2317 0.5000 0.7325 1
Pb1 Pb 0.1552 0.1922 0.6551 1
# formation energy from the elements	-0.0936	eV per atom
# total magnetization	0.00	μB per formula unit

# Na2BiPb3, optimized geometry, DFT GGA-PBE
data_Na2BiPb3
_space_group_name_H-M_alt 'C 1 2/c 1'
_space_group_IT_number 15
_cell_length_a 9.2438
_cell_length_b 14.6240
_cell_length_c 5.9929
_cell_angle_alpha 90.00
_cell_angle_beta 90.58
_cell_angle_gamma 90.00
loop_
_space_group_symop_operation_xyz
'x,y,z'
'-x,-y,-z'
'-x,y,-z+1/2'
'x,-y,z+1/2'
'x+1/2,y+1/2,z'
'-x+1/2,-y+1/2,-z'
'-x+1/2,y+1/2,-z+1/2'
'x+1/2,-y+1/2,z+1/2'
loop_
_atom_site_label
_atom_site_type_symbol
_atom_site_fract_x
_atom_site_fract_y
_atom_site_fract_z
_atom_site_occupancy
Na1 Na 0.1705 0.2131 0.2670 1
Bi1 Bi 0.0000 0.2346 0.7500 1
Pb1 Pb 0.0000 0.4569 0.7500 1
Pb2 Pb 0.1638 0.0426 0.8922 1
# formation energy from the elements	-0.0930	eV per atom
# total magnetization	0.00	μB per formula unit

# Na4Bi3Pb4, optimized geometry, DFT GGA-PBE
data_Na4Bi3Pb4
_space_group_name_H-M_alt 'P -1'
_space_group_IT_number 2
_cell_length_a 3.6116
_cell_length_b 4.9364
_cell_length_c 18.9954
_cell_angle_alpha 97.46
_cell_angle_beta 90.22
_cell_angle_gamma 90.02
loop_
_space_group_symop_operation_xyz
'x,y,z'
'-x,-y,-z'
loop_
_atom_site_label
_atom_site_type_symbol
_atom_site_fract_x
_atom_site_fract_y
_atom_site_fract_z
_atom_site_occupancy
Na1 Na 0.0317 0.4567 0.4144 1
Na2 Na 0.2543 0.1804 0.8589 1
Bi1 Bi 0.2255 0.3622 0.2267 1
Bi2 Bi 0.5000 0.0000 0.5000 1
Pb1 Pb 0.2515 0.2702 0.0403 1
Pb2 Pb 0.4349 0.0914 0.6813 1
# formation energy from the elements	-0.1718	eV per atom
# total magnetization	0.00	μB per formula unit

# NaBi3Pb, optimized geometry, DFT GGA-PBE
data_NaBi3Pb
_space_group_name_H-M_alt 'P 1 21/c 1'
_space_group_IT_number 14
_cell_length_a 7.6180
_cell_length_b 9.2079
_cell_length_c 12.3090
_cell_angle_alpha 90.00
_cell_angle_beta 128.21
_cell_angle_gamma 90.00
loop_
_space_group_symop_operation_xyz
'x,y,z'
'-x,-y,-z'
'-x,y+1/2,-z+1/2'
'x,-y+1/2,z+1/2'
loop_
_atom_site_label
_atom_site_type_symbol
_atom_site_fract_x
_atom_site_fract_y
_atom_site_fract_z
_atom_site_occupancy
Na1 Na 0.2101 0.1162 0.9999 1
Bi1 Bi 0.1565 0.1489 0.2618 1
Bi2 Bi 0.2368 0.9996 0.7372 1
Bi3 Bi 0.3679 0.6487 0.7618 1
Pb1 Pb 0.2588 0.6591 0.9999 1
# formation energy from the elements	-0.0470	eV per atom
# total magnetization	0.00	μB per formula unit

# NaBi3Pb6, optimized geometry, DFT GGA-PBE
data_NaBi3Pb6
_space_group_name_H-M_alt 'P 1 21/c 1'
_space_group_IT_number 14
_cell_length_a 7.4371
_cell_length_b 10.2665
_cell_length_c 10.7000
_cell_angle_alpha 90.00
_cell_angle_beta 124.97
_cell_angle_gamma 90.00
loop_
_space_group_symop_operation_xyz
'x,y,z'
'-x,-y,-z'
'-x,y+1/2,-z+1/2'
'x,-y+1/2,z+1/2'
loop_
_atom_site_label
_atom_site_type_symbol
_atom_site_fract_x
_atom_site_fract_y
_atom_site_fract_z
_atom_site_occupancy
Na1 Na 0.0000 0.0000 0.0000 1
Bi1 Bi 0.4765 0.1642 0.2243 1
Bi2 Bi 0.5000 0.0000 0.5000 1
Pb1 Pb 0.0795 0.1415 0.4632 1
Pb2 Pb 0.2092 0.7372 0.3952 1
Pb3 Pb 0.2968 0.0889 0.8463 1
# formation energy from the elements	0.0198	eV per atom
# total magnetization	0.00	μB per formula unit

# Na3BiPb12, optimized geometry, DFT GGA-PBE
data_Na3BiPb12
_space_group_name_H-M_alt 'P 4/m m m'
_space_group_IT_number 123
_space_group_name_Hall '-P 4 2'
_cell_length_a 4.8578
_cell_length_b 4.8578
_cell_length_c 20.5738
_cell_angle_alpha 90.00
_cell_angle_beta 90.00
_cell_angle_gamma 90.00
loop_
_atom_site_label
_atom_site_type_symbol
_atom_site_fract_x
_atom_site_fract_y
_atom_site_fract_z
_atom_site_occupancy
Na1 Na 0.0000 0.0000 0.0000 1
Na2 Na 0.0000 0.0000 0.2431 1
Bi1 Bi 0.0000 0.0000 0.5000 1
Pb1 Pb 0.0000 0.5000 0.1224 1
Pb2 Pb 0.0000 0.5000 0.3684 1
Pb3 Pb 0.5000 0.5000 0.0000 1
Pb4 Pb 0.5000 0.5000 0.2469 1
Pb5 Pb 0.5000 0.5000 0.5000 1
# formation energy from the elements	-0.0781	eV per atom
# total magnetization	0.00	μB per formula unit

# NaBi3Pb, optimized geometry, DFT GGA-PBE
data_NaBi3Pb
_space_group_name_H-M_alt 'P m -3 m'
_space_group_IT_number 221
_space_group_name_Hall '-P 4 2 3'
_cell_length_a 5.5687
_cell_length_b 5.5687
_cell_length_c 5.5687
_cell_angle_alpha 90.00
_cell_angle_beta 90.00
_cell_angle_gamma 90.00
loop_
_atom_site_label
_atom_site_type_symbol
_atom_site_fract_x
_atom_site_fract_y
_atom_site_fract_z
_atom_site_occupancy
Na1 Na 0.0000 0.0000 0.0000 1
Bi1 Bi 0.0000 0.0000 0.5000 1
Pb1 Pb 0.5000 0.5000 0.5000 1
# formation energy from the elements	0.5296	eV per atom
# total magnetization	0.00	μB per formula unit